[1]
Material: Ba3Be2TlO6
Method: DFT, GGA-PBE
State: optimized geometry

Space group   P-3m1 (164)
E_tot   -5.93 eV/atom
Crystal system   trigonal
Energy relative to the elements, uncorrected   -2.1477 eV per atom
DOS at the Fermi energy   2.33 states/eV/f.u.

a = 5.8924 Å, b = 5.8924 Å, c = 7.1636 Å
α = 90.00°, β = 90.00°, γ = 120.00°
Fractional positions:
Be1 0.6667 0.3333 0.7398
Be2 0.3333 0.6667 0.2602
O1 0.8179 0.6357 0.7292
O2 0.8179 0.1821 0.7292
O3 0.1821 0.8179 0.2708
O4 0.6357 0.8179 0.2708
O5 0.1821 0.3643 0.2708
O6 0.3643 0.1821 0.7292
Ba1 0.0000 0.0000 0.0000
Ba2 0.3333 0.6667 0.6838
Ba3 0.6667 0.3333 0.3162
Tl1 0.0000 0.0000 0.5000


[2]
Material: Co2HgOs
Method: DFT, GGA-PBE
State: optimized geometry

Space group   Cmm2 (35)
E_tot   -5.79 eV/atom
Crystal system   orthorhombic
E_form   0.642 eV/atom
DOS at the Fermi energy   5.52 states/eV/f.u.

a = 2.7114 Å, b = 2.7114 Å, c = 9.0982 Å
α = 90.00°, β = 90.00°, γ = 117.21°
Each line ends with the local moment (μB).
Fractional positions:
Os1 0.5000 0.5000 0.7819  0.36
Co1 0.0000 0.0000 0.0110  1.85
Co2 0.5000 0.5000 0.2196  1.83
Hg1 0.0000 0.0000 0.4875  -0.01


[3]
Material: KTlIr2
Method: DFT, GGA-PBE
State: optimized geometry

E above lowest polymorph   1.52 eV/f.u.
Space group   I-42d (122)
E_tot   -4.60 eV/atom
Crystal system   tetragonal
E_form   0.692 eV/atom
DOS at the Fermi energy   2.73 states/eV/f.u.

a = 4.9160 Å, b = 4.9160 Å, c = 10.2072 Å
α = 76.07°, β = 76.07°, γ = 90.00°
Fractional positions:
Ir1 0.8882 0.6250 0.2500
Ir2 0.3750 0.1382 0.7500
Ir3 0.8750 0.1118 0.7500
Ir4 0.8618 0.1250 0.2500
Tl1 0.0000 0.0000 0.0000
Tl2 0.7500 0.2500 0.5000
K1 0.2500 0.7500 0.5000
K2 0.5000 0.5000 0.0000


[4]
Material: HfCd3Pb
Method: DFT, GGA-PBE
State: optimized geometry

E above lowest polymorph   0.00 eV/f.u.
Space group   Pm-3m (221)
E_tot   -2.48 eV/atom
Crystal system   cubic
E_form   0.797 eV/atom
DOS at the Fermi energy   5.25 states/eV/f.u.

a = 5.5311 Å, b = 5.5311 Å, c = 5.5311 Å
α = 90.00°, β = 90.00°, γ = 90.00°
Fractional positions:
Hf1 0.0000 0.0000 0.0000
Cd1 0.0000 0.5000 0.0000
Cd2 0.5000 0.0000 0.0000
Cd3 0.0000 0.0000 0.5000
Pb1 0.5000 0.5000 0.5000


[5]
Material: Dy4Al24Pt9
Method: DFT, GGA-PBE
State: optimized geometry

Space group   P-1 (2)
E_tot   -5.32 eV/atom
Crystal system   triclinic
E_form   -0.922 eV/atom
DOS at the Fermi energy   7.24 states/eV/f.u.

a = 7.5259 Å, b = 7.5227 Å, c = 13.1882 Å
α = 84.54°, β = 100.90°, γ = 119.91°
Fractional positions:
Al1 0.0564 0.4937 0.6708
Al2 0.1479 0.5005 0.9443
Al3 0.9794 0.8325 0.4391
Al4 0.5181 0.8336 0.0557
Al5 0.2700 0.1601 0.3306
Al6 0.4819 0.1664 0.9443
Al7 0.8521 0.4995 0.0557
Al8 0.6169 0.8343 0.3294
Al9 0.0206 0.1675 0.5609
Al10 0.8970 0.0418 0.1837
Al11 0.1030 0.9582 0.8163
Al12 0.1829 0.1674 0.0469
Al13 0.3831 0.1657 0.6706
Al14 0.3532 0.8334 0.5586
Al15 0.6857 0.4993 0.5586
Al16 0.9436 0.5063 0.3292
Al17 0.3143 0.5007 0.4414
Al18 0.8171 0.8326 0.9531
Al19 0.6918 0.6305 0.1844
Al20 0.8980 0.1640 0.8167
Al21 0.1020 0.8360 0.1833
Al22 0.6468 0.1666 0.4414
Al23 0.7300 0.8399 0.6694
Al24 0.3082 0.3695 0.8156
Pt1 0.6126 0.4920 0.3616
Pt2 0.3874 0.5080 0.6384
Pt3 0.8287 0.1715 0.0001
Pt4 0.9542 0.1746 0.3631
Pt5 0.5000 0.5000 0.0000
Pt6 0.2954 0.8331 0.3616
Pt7 0.7046 0.1669 0.6384
Pt8 0.0458 0.8254 0.6369
Pt9 0.1713 0.8285 0.9999
Dy1 0.2318 0.4987 0.1910
Dy2 0.5619 0.1679 0.1910
Dy3 0.7682 0.5013 0.8090
Dy4 0.4381 0.8321 0.8090


[6]
Material: La6PmEr3
Method: DFT, GGA-PBE
State: optimized geometry

E above lowest polymorph   0.00 eV/f.u.
Space group   Cmc2_1 (36)
E_tot   -4.68 eV/atom
Crystal system   orthorhombic
E_form   0.125 eV/atom
DOS at the Fermi energy   14.78 states/eV/f.u.

a = 6.4896 Å, b = 11.2447 Å, c = 11.2447 Å
α = 122.47°, β = 90.00°, γ = 90.00°
Fractional positions:
Er1 0.4745 0.2866 0.0511
Er2 0.9745 0.7134 0.9489
Er3 0.4745 0.9489 0.7134
Er4 0.0918 0.3883 0.6117
Er5 0.9745 0.0511 0.2866
Er6 0.5918 0.6117 0.3883
Pm1 0.5811 0.8156 0.1844
Pm2 0.0811 0.1844 0.8156
La1 0.8585 0.4938 0.0724
La2 0.8585 0.9276 0.5062
La3 0.0501 0.7166 0.6344
La4 0.3585 0.0724 0.4938
La5 0.3746 0.9703 0.0297
La6 0.8746 0.0297 0.9703
La7 0.3585 0.5062 0.9276
La8 0.0501 0.3656 0.2834
La9 0.5501 0.2834 0.3656
La10 0.6715 0.2875 0.7125
La11 0.1715 0.7125 0.2875
La12 0.5501 0.6344 0.7166


[7]
Material: BaTeBr2
Method: DFT, GGA-PBE
State: optimized geometry

E above lowest polymorph   0.69 eV/f.u.
Space group   P4mm (99)
E_tot   -3.27 eV/atom
Crystal system   tetragonal
Energy relative to the elements, uncorrected   -1.1669 eV per atom

a = 5.0476 Å, b = 5.0475 Å, c = 6.4067 Å
α = 90.00°, β = 90.00°, γ = 90.00°
Fractional positions:
Br1 0.5000 0.5000 0.2219
Br2 0.0000 0.0000 0.9843
Ba1 0.5000 0.5000 0.7127
Te1 0.0000 0.0000 0.5811


[8]
Material: Tm4NiTe2Se
Method: DFT, GGA-PBE
State: optimized geometry

Space group   P2/m (10)
E_tot   -5.33 eV/atom
Crystal system   monoclinic
Energy relative to the elements, uncorrected   -1.1531 eV per atom
DOS at the Fermi energy   3.69 states/eV/f.u.

a = 4.0123 Å, b = 7.2912 Å, c = 7.3744 Å
α = 108.13°, β = 90.00°, γ = 90.00°
Fractional positions:
Te1 0.5000 0.0000 0.5000
Te2 0.0000 0.5000 0.5000
Tm1 0.5000 0.7438 0.7830
Tm2 0.0000 0.2880 0.7985
Tm3 0.5000 0.2562 0.2170
Tm4 0.0000 0.7120 0.2015
Se1 0.0000 0.0000 0.0000
Ni1 0.5000 0.5000 0.0000


[9]
Material: RbSnIr2
Method: DFT, GGA-PBE
State: optimized geometry

Space group   I-42d (122)
E_tot   -4.71 eV/atom
Crystal system   tetragonal
E_form   0.964 eV/atom
DOS at the Fermi energy   4.13 states/eV/f.u.

a = 7.8814 Å, b = 7.8814 Å, c = 6.3688 Å
α = 51.77°, β = 51.77°, γ = 90.00°
Fractional positions:
Sn1 0.0000 0.0000 0.0000
Sn2 0.7500 0.2500 0.5000
Ir1 0.3750 0.3166 0.7500
Ir2 0.6834 0.1250 0.2500
Ir3 0.8750 0.9334 0.7500
Ir4 0.0666 0.6250 0.2500
Rb1 0.2500 0.7500 0.5000
Rb2 0.5000 0.5000 0.0000


[10]
Material: MnRhPb2
Method: DFT, GGA-PBE
State: optimized geometry

E above lowest polymorph   1.61 eV/f.u.
Space group   I-42d (122)
E_tot   -5.51 eV/atom
Crystal system   tetragonal
E_form   0.472 eV/atom
DOS at the Fermi energy   3.52 states/eV/f.u.

a = 4.4026 Å, b = 4.4026 Å, c = 9.9577 Å
α = 77.23°, β = 77.23°, γ = 90.00°
Each line ends with the local moment (μB).
Fractional positions:
Rh1 0.0000 0.0000 0.0000  -0.12
Rh2 0.7500 0.2500 0.5000  -0.12
Pb1 0.3750 0.3686 0.7500  0.03
Pb2 0.8750 0.8814 0.7500  0.04
Pb3 0.6314 0.1250 0.2500  0.03
Pb4 0.1186 0.6250 0.2500  0.03
Mn1 0.5000 0.5000 0.0000  -3.89
Mn2 0.2500 0.7500 0.5000  -3.89


[11]
Material: V2Co6W
Method: DFT, GGA-PBE
State: optimized geometry

Space group   P-3m1 (164)
E_tot   -8.02 eV/atom
Crystal system   trigonal
E_form   0.183 eV/atom
DOS at the Fermi energy   13.19 states/eV/f.u.

a = 5.4362 Å, b = 4.8750 Å, c = 4.8750 Å
α = 120.00°, β = 90.00°, γ = 90.00°
Each line ends with the local moment (μB).
Fractional positions:
Co1 0.8306 0.8224 0.1776  0.55
Co2 0.1694 0.6448 0.8224  0.55
Co3 0.8306 0.8224 0.6448  0.55
Co4 0.1694 0.1776 0.3552  0.55
Co5 0.1694 0.1776 0.8224  0.55
Co6 0.8306 0.3552 0.1776  0.55
V1 0.3605 0.6667 0.3333  -0.71
V2 0.6395 0.3333 0.6667  -0.71
W1 0.5000 0.0000 0.0000  -0.07


[12]
Material: Pm6ErSn4
Method: DFT, GGA-PBE
State: optimized geometry

Space group   I-42m (121)
E_tot   -4.81 eV/atom
Crystal system   tetragonal
E_form   -0.347 eV/atom
DOS at the Fermi energy   11.75 states/eV/f.u.

a = 8.2494 Å, b = 8.2494 Å, c = 8.2494 Å
α = 86.17°, β = 122.24°, γ = 122.24°
Fractional positions:
Sn1 0.4606 0.8293 0.8293
Sn2 0.0000 0.1707 0.6312
Sn3 0.5394 0.3688 0.3688
Sn4 0.0000 0.6312 0.1707
Pm1 0.6792 0.1749 0.1749
Pm2 0.5000 0.0000 0.5000
Pm3 0.0000 0.8251 0.5043
Pm4 0.0000 0.5043 0.8251
Pm5 0.3208 0.4957 0.4957
Pm6 0.5000 0.5000 0.0000
Er1 0.0000 0.0000 0.0000


[13]
Material: Tb3TcHg
Method: DFT, GGA-PBE
State: optimized geometry

E above lowest polymorph   0.00 eV/f.u.
Space group   Fmmm (69)
E_tot   -5.14 eV/atom
Crystal system   orthorhombic
E_form   -0.226 eV/atom
DOS at the Fermi energy   4.52 states/eV/f.u.

a = 5.9163 Å, b = 5.9163 Å, c = 8.6246 Å
α = 102.16°, β = 102.15°, γ = 112.71°
Fractional positions:
Tc1 0.2500 0.2500 0.0000
Tc2 0.7500 0.7500 0.0000
Tb1 0.9233 0.7973 0.7206
Tb2 0.6971 0.1971 0.8942
Tb3 0.3029 0.8029 0.1058
Tb4 0.7026 0.5768 0.2794
Tb5 0.0767 0.2027 0.2794
Tb6 0.2974 0.4232 0.7206
Hg1 0.2868 0.7868 0.5000
Hg2 0.7132 0.2132 0.5000


[14]
Material: Pm2ScTcO8
Method: DFT, GGA-PBE
State: optimized geometry

Space group   C2/m (12)
E_tot   -7.99 eV/atom
Crystal system   monoclinic
Energy relative to the elements, uncorrected   -2.5026 eV per atom

a = 5.0773 Å, b = 5.0822 Å, c = 6.7553 Å
α = 89.99°, β = 89.99°, γ = 92.07°
Fractional positions:
O1 0.2673 0.2686 0.0008
O2 0.1760 0.8261 0.7881
O3 0.7327 0.7314 0.9992
O4 0.2850 0.2862 0.4994
O5 0.1750 0.8253 0.2121
O6 0.7150 0.7138 0.5006
O7 0.8250 0.1747 0.7879
O8 0.8240 0.1739 0.2119
Pm1 0.5008 0.5010 0.2519
Pm2 0.4992 0.4990 0.7481
Tc1 0.0000 0.0000 0.0000
Sc1 0.0000 0.0000 0.5000


[15]
Material: LaNdGeCl
Method: DFT, GGA-PBE
State: optimized geometry

E above lowest polymorph   0.31 eV/f.u.
Space group   Amm2 (38)
E_tot   -5.07 eV/atom
Crystal system   orthorhombic
Energy relative to the elements, uncorrected   -1.0350 eV per atom
DOS at the Fermi energy   1.97 states/eV/f.u.

a = 5.0326 Å, b = 5.0878 Å, c = 5.9570 Å
α = 90.00°, β = 90.00°, γ = 119.64°
Fractional positions:
La1 0.1682 0.3363 0.5000
Cl1 0.8374 0.6748 0.5000
Nd1 0.8379 0.6758 0.0000
Ge1 0.1689 0.3378 0.0000


[16]
Material: La4Tb2HoTm2
Method: DFT, GGA-PBE
State: optimized geometry

Space group   C2/m (12)
E_tot   -4.69 eV/atom
Crystal system   monoclinic
E_form   0.031 eV/atom
DOS at the Fermi energy   15.43 states/eV/f.u.

a = 3.6334 Å, b = 9.5829 Å, c = 8.8711 Å
α = 89.92°, β = 90.00°, γ = 100.93°
Fractional positions:
Tb1 0.1111 0.2222 0.6725
Tb2 0.8889 0.7778 0.3275
Tm1 0.3340 0.6680 0.0025
Tm2 0.6660 0.3320 0.9975
La1 0.4447 0.8893 0.6728
La2 0.5553 0.1107 0.3272
La3 0.7770 0.5541 0.6734
La4 0.2230 0.4459 0.3266
Ho1 0.0000 0.0000 0.0000


[17]
Material: KCdPt2
Method: DFT, GGA-PBE
State: optimized geometry

E above lowest polymorph   1.82 eV/f.u.
Space group   F-43m (216)
E_tot   -3.28 eV/atom
Crystal system   cubic
E_form   0.242 eV/atom
DOS at the Fermi energy   1.80 states/eV/f.u.

a = 4.8500 Å, b = 4.8500 Å, c = 4.8500 Å
α = 60.00°, β = 60.00°, γ = 60.00°
Fractional positions:
K1 0.7500 0.7500 0.7500
Pt1 0.2500 0.2500 0.2500
Pt2 0.0000 0.0000 0.0000
Cd1 0.5000 0.5000 0.5000


[18]
Material: NbIN2
Method: DFT, GGA-PBE
State: optimized geometry

Space group   Fm-3m (225)
E_tot   -5.63 eV/atom
Crystal system   cubic
Energy relative to the elements, uncorrected   1.4365 eV per atom
DOS at the Fermi energy   3.26 states/eV/f.u.

a = 4.1490 Å, b = 4.1490 Å, c = 4.1490 Å
α = 60.00°, β = 60.00°, γ = 60.00°
Fractional positions:
N1 0.2500 0.2500 0.2500
N2 0.7500 0.7500 0.7500
Nb1 0.0000 0.0000 0.0000
I1 0.5000 0.5000 0.5000


[19]
Material: Ba2Na5Ag4
Method: DFT, GGA-PBE
State: optimized geometry

Space group   C2/m (12)
E_tot   -2.05 eV/atom
Crystal system   monoclinic
E_form   -0.065 eV/atom
DOS at the Fermi energy   5.62 states/eV/f.u.

a = 6.3348 Å, b = 8.2554 Å, c = 8.2265 Å
α = 69.79°, β = 67.35°, γ = 67.44°
Fractional positions:
Na1 0.2951 0.7866 0.1377
Na2 0.0000 0.5000 0.5000
Na3 0.7049 0.2134 0.8623
Na4 0.2193 0.2134 0.8623
Na5 0.7807 0.7866 0.1377
Ag1 0.7740 0.5471 0.9049
Ag2 0.6759 0.9147 0.7335
Ag3 0.3241 0.0853 0.2665
Ag4 0.2260 0.4529 0.0951
Ba1 0.7164 0.2411 0.3262
Ba2 0.2836 0.7589 0.6738


[20]
Material: HoTlPd3
Method: DFT, GGA-PBE
State: optimized geometry

Space group   P2_1/m (11)
E_tot   -5.14 eV/atom
Crystal system   monoclinic
E_form   -0.632 eV/atom
DOS at the Fermi energy   1.78 states/eV/f.u.

a = 5.7404 Å, b = 7.6214 Å, c = 9.3038 Å
α = 89.88°, β = 90.00°, γ = 90.00°
Fractional positions:
Pd1 0.2500 0.5948 0.1248
Pd2 0.2500 0.5948 0.6248
Pd3 0.9902 0.2623 0.6255
Pd4 0.5098 0.2623 0.1255
Pd5 0.4902 0.7377 0.8745
Pd6 0.9902 0.2623 0.1254
Pd7 0.4902 0.7377 0.3746
Pd8 0.5098 0.2623 0.6254
Pd9 0.0098 0.7377 0.8746
Pd10 0.7500 0.4052 0.3752
Pd11 0.0098 0.7377 0.3745
Pd12 0.7500 0.4052 0.8752
Ho1 0.7500 0.6275 0.6248
Ho2 0.2500 0.3725 0.3752
Ho3 0.7500 0.6275 0.1248
Ho4 0.2500 0.3725 0.8752
Tl1 0.7500 0.0476 0.8754
Tl2 0.2500 0.9524 0.6246
Tl3 0.7500 0.0476 0.3754
Tl4 0.2500 0.9524 0.1246


[21]
Material: RbAg3C
Method: DFT, GGA-PBE
State: optimized geometry

E above lowest polymorph   8.99 eV/f.u.
Space group   Pm-3m (221)
E_tot   -1.24 eV/atom
Crystal system   cubic
E_form   2.507 eV/atom
DOS at the Fermi energy   6.84 states/eV/f.u.

a = 6.2605 Å, b = 6.2605 Å, c = 6.2605 Å
α = 90.00°, β = 90.00°, γ = 90.00°
Each line ends with the local moment (μB).
Fractional positions:
Ag1 0.5000 0.0000 0.0000  -0.13
Ag2 0.0000 0.5000 0.0000  -0.07
Ag3 0.0000 0.0000 0.5000  0.00
Rb1 0.0000 0.0000 0.0000  -0.03
C1 0.5000 0.5000 0.5000  0.99


[22]
Material: YThH2
Method: DFT, GGA-PBE
State: optimized geometry

E above lowest polymorph   0.39 eV/f.u.
Space group   R3m (160)
E_tot   -5.36 eV/atom
Crystal system   trigonal
DOS at the Fermi energy   3.84 states/eV/f.u.

a = 3.4958 Å, b = 3.4958 Å, c = 6.4770 Å
α = 74.34°, β = 74.34°, γ = 60.00°
Fractional positions:
H1 0.2629 0.2629 0.2112
H2 0.0732 0.0732 0.7804
Th1 0.4943 0.4943 0.5170
Y1 0.6695 0.6695 0.9914